1.
An optimized crystal structure of ZrMnSe2, computed with GGA-PBE.

## Properties
**ΔE to the lowest computed polymorph**: 106.2 meV/atom
**ρ**: 6273 kg/m3
**Space-group type**: R-3m (166)

a b c (Å): 7.229 7.229 7.229
angles (deg): 29.38 29.38 29.38
Positions (direct):
Zr  0.000  0.000  0.000
Mn  0.500  0.500  0.500
Se  0.246  0.246  0.246
Se  0.754  0.754  0.754



2.
An optimized crystal structure of ZrMnSe2, computed with GGA-PBE.

## Properties
**ΔE to the lowest computed polymorph**: 203.4 meV/atom
**ρ**: 6705 kg/m3
**Space-group type**: P4/mmm (123)

a b c (Å): 3.379 3.379 6.596
angles (deg): 90.00 90.00 90.00
Positions (direct):
Zr  0.000  0.000  0.000
Mn  0.000  0.000  0.500
Se  0.500  0.500  0.243
Se  0.500  0.500  0.757



3.
An optimized crystal structure of Mn6Si7, computed with GGA-PBE.

## Properties
**ρ**: 5485 kg/m3
**Total DFT energy (no corrections)**: -91.79 eV per cell
**Space-group type**: R-3m (166)

a b c (Å): 8.434 8.434 8.434
angles (deg): 33.10 33.10 33.10
Positions (direct):
Mn  0.049  0.049  0.049
Mn  0.161  0.161  0.161
Mn  0.334  0.334  0.334
Mn  0.666  0.666  0.666
Mn  0.839  0.839  0.839
Mn  0.951  0.951  0.951
Si  0.078  0.586  0.586
Si  0.414  0.414  0.922
Si  0.414  0.922  0.414
Si  0.500  0.500  0.500
Si  0.586  0.078  0.586
Si  0.586  0.586  0.078
Si  0.922  0.414  0.414



Among the records above, which one has the highest ρ?
number 2



ρ of number 2 (ZrMnSe2)?
6705 kg/m3



ρ of number 1 (ZrMnSe2)?
6273 kg/m3



Which formula does entry 2 have?
ZrMnSe2